SrErMo2O8 | GGA+U | relaxed

Calculated values
Total DFT energy (no corrections) ... -0.535 Ry/atom

abc: 6.2998 6.2998 6.2998
angles: 106.08 106.08 116.48
With the nearest neighbours (Å) after each atom.
Fractional coordinates of all 12 atoms:
Sr (0.0000, 0.0000, 0.0000)  8 O 2.47-2.67
Er (0.2500, 0.7500, 0.5000)  8 O 2.42-2.43
Mo (0.5000, 0.5000, 0.0000)  4 O 1.80
Mo (0.7500, 0.2500, 0.5000)  4 O 1.87
O (0.3386, 0.1479, 0.8093)  1 Mo 1.80
O (0.3386, 0.5294, 0.1907)  1 Mo 1.80
O (0.3775, 0.0549, 0.3226)  1 Mo 1.87
O (0.4706, 0.6614, 0.8093)  1 Mo 1.80
O (0.7323, 0.0549, 0.6774)  1 Mo 1.87
O (0.8521, 0.6614, 0.1907)  1 Mo 1.80
O (0.9451, 0.2677, 0.3226)  1 Mo 1.87
O (0.9451, 0.6225, 0.6774)  1 Mo 1.87